1.
Compound: SrTlH2S
Source: Alexandria
Functional: PBE
Structure: relaxed

a = 4.0805 Å, b = 8.3263 Å, c = 4.0805 Å
α = 90.00°, β = 90.00°, γ = 90.00°
Atoms (fractional coordinates):
Sr1 0.0000 0.5000 0.0000
Tl1 0.0000 0.0000 0.0000
S1 0.5000 0.5000 0.5000
H1 0.0000 0.0000 0.5000
H2 0.5000 0.0000 0.0000

Output
E (eV per atom): -3.245
Mass density (g/cm3): 3.906


2.
Compound: Sr2UHS5
Source: Alexandria
Functional: PBE
Structure: relaxed

a = 4.0898 Å, b = 8.8094 Å, c = 12.1627 Å
α = 90.00°, β = 90.00°, γ = 103.42°
Atoms (fractional coordinates):
Sr1 0.8733 0.7466 0.8245
Sr2 0.1085 0.2169 0.6880
Sr3 0.1267 0.2534 0.3245
Sr4 0.8915 0.7831 0.1880
U1 0.8019 0.6038 0.5215
U2 0.1981 0.3962 0.0215
H1 0.5275 0.0549 0.8910
H2 0.4725 0.9451 0.3910
S1 0.3511 0.7023 0.0108
S2 0.6936 0.3872 0.8774
S3 0.4987 0.9975 0.7868
S4 0.2886 0.5772 0.6661
S5 0.9419 0.8839 0.5579
S6 0.6489 0.2977 0.5108
S7 0.3064 0.6128 0.3774
S8 0.5013 0.0025 0.2868
S9 0.7114 0.4228 0.1661
S10 0.0581 0.1161 0.0579

Output
E (eV per atom): -5.763
Mass density (g/cm3): 4.477


3.
Compound: SrVHS2
Source: Alexandria
Functional: PBE
Structure: relaxed

a = 4.7939 Å, b = 4.7939 Å, c = 3.8315 Å
α = 90.00°, β = 90.00°, γ = 90.00°
Atoms (fractional coordinates):
Sr1 0.5000 0.5000 0.5000
S1 0.0000 0.5000 0.0000
S2 0.5000 0.0000 0.0000
H1 0.0000 0.0000 0.5000
V1 0.0000 0.0000 0.0000

Output
E (eV per atom): -5.528
Mass density (g/cm3): 3.841


4.
Compound: SrYHS2
Source: Alexandria
Functional: PBE
Structure: relaxed

a = 5.2897 Å, b = 5.2897 Å, c = 4.1649 Å
α = 90.00°, β = 90.00°, γ = 90.00°
Atoms (fractional coordinates):
Y1 0.0000 0.0000 0.0000
Sr1 0.5000 0.5000 0.5000
S1 0.0000 0.5000 0.0000
S2 0.5000 0.0000 0.0000
H1 0.0000 0.0000 0.5000

Output
E (eV per atom): -5.516
Mass density (g/cm3): 3.444


5.
Compound: Ta2HS
Source: Alexandria
Functional: PBE
Structure: relaxed

a = 4.9609 Å, b = 4.9609 Å, c = 5.9981 Å
α = 65.57°, β = 65.57°, γ = 90.00°
Atoms (fractional coordinates):
H1 0.5000 0.5000 0.0000
H2 0.2500 0.7500 0.5000
S1 0.0000 0.0000 0.0000
S2 0.7500 0.2500 0.5000
Ta1 0.5459 0.1250 0.2500
Ta2 0.2041 0.6250 0.2500
Ta3 0.3750 0.4541 0.7500
Ta4 0.8750 0.7959 0.7500

Output
E (eV per atom): -7.801
Mass density (g/cm3): 10.955
Offset from the most stable computed form (kJ/mol of formula units): 0.0


6.
Compound: Ta3HS
Source: Alexandria
Functional: PBE
Structure: relaxed

a = 4.1491 Å, b = 4.1491 Å, c = 4.1491 Å
α = 90.00°, β = 90.00°, γ = 90.00°
Atoms (fractional coordinates):
H1 0.0000 0.0000 0.0000
S1 0.5000 0.5000 0.5000
Ta1 0.0000 0.5000 0.0000
Ta2 0.0000 0.0000 0.5000
Ta3 0.5000 0.0000 0.0000

Output
E (eV per atom): -8.335
Mass density (g/cm3): 13.389
Offset from the most stable computed form (kJ/mol of formula units): 0.0


7.
Compound: TaH3S
Source: Alexandria
Functional: PBE
Structure: relaxed

a = 3.6332 Å, b = 3.6332 Å, c = 3.6332 Å
α = 90.00°, β = 90.00°, γ = 90.00°
Atoms (fractional coordinates):
H1 0.0000 0.5000 0.0000
H2 0.0000 0.0000 0.5000
H3 0.5000 0.0000 0.0000
S1 0.5000 0.5000 0.5000
Ta1 0.0000 0.0000 0.0000

Output
E (eV per atom): -4.818
Mass density (g/cm3): 7.480
Offset from the most stable computed form (kJ/mol of formula units): 0.0


8.
Compound: TaHS3
Source: Alexandria
Functional: PBE
Structure: relaxed

a = 4.0232 Å, b = 4.0232 Å, c = 4.0232 Å
α = 90.00°, β = 90.00°, γ = 90.00°
Atoms (fractional coordinates):
H1 0.0000 0.0000 0.0000
S1 0.0000 0.5000 0.0000
S2 0.0000 0.0000 0.5000
S3 0.5000 0.0000 0.0000
Ta1 0.5000 0.5000 0.5000

Output
E (eV per atom): -4.719
Mass density (g/cm3): 7.093
Offset from the most stable computed form (kJ/mol of formula units): 602.7


9.
Compound: Ta2HS3
Source: Alexandria
Functional: PBE
Structure: relaxed

a = 3.2950 Å, b = 8.1414 Å, c = 8.8564 Å
α = 70.98°, β = 79.28°, γ = 78.32°
Atoms (fractional coordinates):
Ta1 0.8488 0.4837 0.8186
Ta2 0.1512 0.5163 0.1814
Ta3 0.5706 0.3203 0.5386
Ta4 0.4294 0.6797 0.4614
H1 0.4171 0.4913 0.6745
H2 0.5829 0.5087 0.3255
S1 0.0276 0.1924 0.7525
S2 0.9724 0.8076 0.2475
S3 0.6623 0.6887 0.9867
S4 0.3377 0.3113 0.0133
S5 0.7972 0.7861 0.6195
S6 0.2028 0.2139 0.3805

Output
E (eV per atom): -7.312
Mass density (g/cm3): 6.990


10.
Compound: TaHS
Source: Alexandria
Functional: PBE
Structure: relaxed

a = 3.1721 Å, b = 5.0710 Å, c = 4.6626 Å
α = 90.00°, β = 90.01°, γ = 90.00°
Atoms (fractional coordinates):
H1 0.2530 0.4008 0.1179
H2 0.7527 0.9008 0.8860
S1 0.7529 0.0736 0.3736
S2 0.2528 0.5736 0.6304
Ta1 0.7528 0.2803 0.8887
Ta2 0.2528 0.7803 0.1152

Output
E (eV per atom): -7.017
Mass density (g/cm3): 9.477


11.
Compound: TaH3S
Source: Alexandria
Functional: PBE
Structure: relaxed

a = 3.4382 Å, b = 3.4382 Å, c = 3.4382 Å
α = 90.00°, β = 90.00°, γ = 90.00°
Atoms (fractional coordinates):
H1 0.0000 0.5000 0.0000
H2 0.0000 0.0000 0.5000
H3 0.5000 0.0000 0.0000
S1 0.0000 0.0000 0.0000
Ta1 0.5000 0.5000 0.5000

Output
E (eV per atom): -4.106
Mass density (g/cm3): 8.826
Offset from the most stable computed form (kJ/mol of formula units): 343.3


12.
Compound: TaHS
Source: Alexandria
Functional: PBE
Structure: relaxed

a = 2.9901 Å, b = 2.9901 Å, c = 4.5607 Å
α = 109.14°, β = 109.14°, γ = 90.00°
Atoms (fractional coordinates):
H1 0.0427 0.0427 0.0854
S1 0.3219 0.3219 0.6439
Ta1 0.6354 0.6354 0.2708

Output
E (eV per atom): -6.685
Mass density (g/cm3): 9.837


13.
Compound: Ta2H2S
Source: Alexandria
Functional: PBE
Structure: relaxed

a = 3.2308 Å, b = 6.0620 Å, c = 12.3500 Å
α = 90.00°, β = 90.00°, γ = 90.00°
Atoms (fractional coordinates):
Ta1 0.7500 0.4307 0.7863
Ta2 0.2500 0.0693 0.2863
Ta3 0.2500 0.5693 0.2137
Ta4 0.7500 0.9307 0.7137
Ta5 0.7500 0.8939 0.0937
Ta6 0.2500 0.6061 0.5937
Ta7 0.2500 0.1061 0.9063
Ta8 0.7500 0.3939 0.4063
H1 0.7500 0.8071 0.5722
H2 0.2500 0.6929 0.0722
H3 0.2500 0.1929 0.4278
H4 0.7500 0.3071 0.9278
H5 0.7500 0.9068 0.2499
H6 0.2500 0.5932 0.7499
H7 0.2500 0.0932 0.7501
H8 0.7500 0.4068 0.2501
S1 0.7500 0.2819 0.6018
S2 0.2500 0.2181 0.1018
S3 0.2500 0.7181 0.3982
S4 0.7500 0.7819 0.8982

Output
E (eV per atom): -7.267
Mass density (g/cm3): 10.874


14.
Compound: Ta2HS
Source: Alexandria
Functional: PBE
Structure: relaxed

a = 4.1971 Å, b = 4.1971 Å, c = 4.1971 Å
α = 60.00°, β = 60.00°, γ = 60.00°
Atoms (fractional coordinates):
H1 0.0000 0.0000 0.0000
S1 0.5000 0.5000 0.5000
Ta1 0.2500 0.2500 0.2500
Ta2 0.7500 0.7500 0.7500

Output
E (eV per atom): -7.491
Mass density (g/cm3): 12.546
Offset from the most stable computed form (kJ/mol of formula units): 119.3


15.
Compound: TaHS3
Source: Alexandria
Functional: PBE
Structure: relaxed

a = 5.8384 Å, b = 5.8386 Å, c = 7.1248 Å
α = 65.81°, β = 65.81°, γ = 60.00°
Atoms (fractional coordinates):
Ta1 0.8337 0.8337 0.4988
Ta2 0.1663 0.1663 0.5012
H1 0.4293 0.4292 0.7123
H2 0.5707 0.5708 0.2877
S1 0.7452 0.4237 0.7295
S2 0.1016 0.7452 0.7295
S3 0.4238 0.1016 0.7295
S4 0.2548 0.5763 0.2705
S5 0.8984 0.2548 0.2705
S6 0.5762 0.8984 0.2705

Output
E (eV per atom): -5.968
Mass density (g/cm3): 4.985
Offset from the most stable computed form (kJ/mol of formula units): 0.0


16.
Compound: TaHS
Source: Alexandria
Functional: PBE
Structure: relaxed

a = 3.1582 Å, b = 3.9032 Å, c = 8.1983 Å
α = 90.04°, β = 90.00°, γ = 90.00°
Atoms (fractional coordinates):
Ta1 0.2498 0.2502 0.6113
Ta2 0.7502 0.7498 0.3887
H1 0.7499 0.2499 0.4565
H2 0.2501 0.7501 0.5435
S1 0.2501 0.7496 0.1746
S2 0.7499 0.2504 0.8254

Output
E (eV per atom): -6.713
Mass density (g/cm3): 7.033


17.
Compound: TaHS
Source: Alexandria
Functional: PBE
Structure: relaxed

a = 3.2443 Å, b = 3.2443 Å, c = 9.4487 Å
α = 90.00°, β = 90.00°, γ = 60.00°
Atoms (fractional coordinates):
Ta1 0.3334 0.3333 0.8595
Ta2 0.6667 0.6667 0.1405
H1 0.0000 0.0000 0.9050
H2 0.0000 0.0000 0.0950
S1 0.6667 0.6667 0.6892
S2 0.3333 0.3333 0.3108

Output
E (eV per atom): -7.113
Mass density (g/cm3): 8.252


18.
Compound: TaHS3
Source: Alexandria
Functional: PBE
Structure: relaxed

a = 4.7832 Å, b = 4.7832 Å, c = 4.7832 Å
α = 90.00°, β = 90.00°, γ = 90.00°
Atoms (fractional coordinates):
H1 0.5000 0.5000 0.5000
S1 0.0000 0.5000 0.0000
S2 0.0000 0.0000 0.5000
S3 0.5000 0.0000 0.0000
Ta1 0.0000 0.0000 0.0000

Output
E (eV per atom): -5.390
Mass density (g/cm3): 4.221
Offset from the most stable computed form (kJ/mol of formula units): 278.8


19.
Compound: TaTeHS
Source: Alexandria
Functional: PBE
Structure: relaxed

a = 3.4788 Å, b = 3.4788 Å, c = 7.5257 Å
α = 90.03°, β = 103.33°, γ = 120.01°
Atoms (fractional coordinates):
Ta1 0.8250 0.2770 0.1020
Te1 0.3439 0.0369 0.3808
H1 0.5066 0.6179 0.1245
S1 0.0166 0.8726 0.8892

Output
E (eV per atom): -6.254
Mass density (g/cm3): 7.463


20.
Compound: TaTl2HS4
Source: Alexandria
Functional: PBE
Structure: relaxed

a = 10.0598 Å, b = 6.1491 Å, c = 7.5407 Å
α = 124.49°, β = 135.16°, γ = 84.00°
Atoms (fractional coordinates):
Ta1 0.7779 0.7589 0.5431
Tl1 0.2152 0.9076 0.7007
Tl2 0.4008 0.2271 0.5577
H1 0.8634 0.4701 0.7876
S1 0.7973 0.6806 0.8399
S2 0.8094 0.4034 0.2551
S3 0.4564 0.7173 0.1417
S4 0.0666 0.2221 0.9483

Output
E (eV per atom): -5.136
Mass density (g/cm3): 5.123